Entry 1:
Ba2TcIr after structural relaxation. Source: Alexandria via LeMat-Bulk, functional PBE-GGA.

Cell: 4.3115 4.3115 9.2944 Å, 76.89 76.89 60.06°
Last column: nearest neighbours and their distance in Å.
Fractional positions:
Ba (0.9609, 0.9609, 0.1122)  3 Ir 3.38, 3 Tc 3.47-3.48
Ba (0.7890, 0.7890, 0.6383)  3 Tc 3.39, 3 Ir 3.48
Ir (0.5443, 0.5443, 0.3672)  3 Tc 2.49
Tc (0.2058, 0.2058, 0.3823)  3 Ir 2.49

Calculated values
* space-group type: Cm
* ΔH_f (0 K): 0.33 eV/f.u.
* magnetization: 1.13 μB per formula unit
* electronic total energy: -5.69 eV per atom
* V: 36.12 Å³ per atom

---

Entry 2:
BaTcIr4 after structural relaxation. Source: Alexandria via LeMat-Bulk, functional PBE-GGA.

Cell: 5.3946 5.3946 5.3946 Å, 60.00 60.00 60.00°
Last column: nearest neighbours and their distance in Å.
Fractional positions:
Ba (0.0000, 0.0000, 0.0000)  12 Ir 3.17, 4 Tc 3.30
Tc (0.7500, 0.7500, 0.7500)  12 Ir 3.16, 4 Ba 3.30
Ir (0.8719, 0.3760, 0.3760)  6 Ir 2.67-2.72
Ir (0.3760, 0.3760, 0.8719)  6 Ir 2.67-2.72
Ir (0.3760, 0.8719, 0.3760)  6 Ir 2.67-2.72
Ir (0.3760, 0.3760, 0.3760)  6 Ir 2.67-2.72

Calculated values
* space-group type: F-43m
* ΔH_f (0 K): 3.38 eV/f.u.
* magnetization: 2.92 μB per formula unit
* electronic total energy: -7.39 eV per atom
* V: 18.50 Å³ per atom

---

Entry 3:
Ba2TcIr after structural relaxation. Source: Alexandria via LeMat-Bulk, functional PBE-GGA.

Cell: 3.6164 3.6164 8.7464 Å, 90.00 90.00 90.00°
Last column: nearest neighbours and their distance in Å.
Fractional positions:
Ba (0.0000, 0.0000, 0.0237)  4 Ir 3.23, 4 Tc 3.50, 4 Ba 3.62
Ba (0.0000, 0.0000, 0.4763)  4 Ir 3.23, 4 Tc 3.50, 4 Ba 3.62
Ir (0.5000, 0.5000, 0.2500)  8 Ba 3.23, 4 Ir 3.62
Tc (0.5000, 0.5000, 0.7500)  8 Ba 3.50, 4 Tc 3.62

Calculated values
* space-group type: P4/mmm
* ΔH_f (0 K): 3.61 eV/f.u.
* magnetization: 3.01 μB per formula unit
* electronic total energy: -4.87 eV per atom
* V: 28.60 Å³ per atom